Sr2Mg17 | PBE-GGA | relaxed

a b c (Å): 10.4994 10.4992 10.3251
angles (deg): 90.00 90.00 120.00
Element x y z (fractional)
Mg1 0.6667 0.3333 0.1014
Mg2 0.3333 0.6667 0.6014
Mg3 0.3333 0.6667 0.8986
Mg4 0.6667 0.3333 0.3986
Mg5 0.0000 0.5000 0.0000
Mg6 0.5000 0.5000 0.0000
Mg7 0.5000 0.0000 0.0000
Mg8 0.0000 0.5000 0.5000
Mg9 0.5000 0.5000 0.5000
Mg10 0.5000 0.0000 0.5000
Mg11 0.9626 0.6328 0.2500
Mg12 0.3672 0.3299 0.2500
Mg13 0.6701 0.0374 0.2500
Mg14 0.0374 0.3672 0.7500
Mg15 0.6328 0.6701 0.7500
Mg16 0.3299 0.9626 0.7500
Mg17 0.3299 0.3672 0.7500
Mg18 0.0374 0.6701 0.7500
Mg19 0.6328 0.9626 0.7500
Mg20 0.6701 0.6328 0.2500
Mg21 0.9626 0.3299 0.2500
Mg22 0.3672 0.0374 0.2500
Mg23 0.3310 0.1655 0.9791
Mg24 0.8345 0.1655 0.9791
Mg25 0.8345 0.6690 0.9791
Mg26 0.6690 0.8345 0.4791
Mg27 0.1655 0.8345 0.4791
Mg28 0.1655 0.3310 0.4791
Mg29 0.1655 0.8345 0.0209
Mg30 0.6690 0.8345 0.0209
Mg31 0.1655 0.3310 0.0209
Mg32 0.8345 0.1655 0.5209
Mg33 0.3310 0.1655 0.5209
Mg34 0.8345 0.6690 0.5209
Sr1 0.0000 0.0000 0.2500
Sr2 0.0000 0.0000 0.7500
Sr3 0.6667 0.3333 0.7500
Sr4 0.3333 0.6667 0.2500

Mass density (g cm⁻³): 1.98
Energy of formation from the pure elements (kJ/mol of atoms): -5